[1]
# Ca5Yb3Ti5Mn3O24 | Alexandria via LeMat-Bulk | PBE+U | optimized geometry
# DFT total energy (eV/atom): -7.6827
# Theoretical density (g cm⁻³): 5.48
# Total moment (μB/f.u.): 10.0
data_Ca5Yb3Ti5Mn3O24
_cell_length_a 5.373
_cell_length_b 5.514
_cell_length_c 15.407
_cell_angle_alpha 89.79
_cell_angle_beta 89.84
_cell_angle_gamma 89.84
_symmetry_space_group_name_H-M 'P 1'
_symmetry_Int_Tables_number 1
loop_
_symmetry_equiv_pos_as_xyz
'x,y,z'
loop_
_atom_site_label
_atom_site_type_symbol
_atom_site_fract_x
_atom_site_fract_y
_atom_site_fract_z
Ca1 Ca 0.000 0.000 0.000
Ca2 Ca 0.005 0.007 0.499
Ca3 Ca 0.020 0.915 0.751
Ca4 Ca 0.505 0.413 0.751
Ca5 Ca 0.525 0.503 0.001
Yb1 Yb 0.031 0.900 0.253
Yb2 Yb 0.504 0.398 0.253
Yb3 Yb 0.527 0.514 0.499
Ti1 Ti 0.014 0.453 0.125
Ti2 Ti 0.014 0.462 0.874
Ti3 Ti 0.017 0.466 0.624
Ti4 Ti 0.508 0.962 0.878
Ti5 Ti 0.511 0.969 0.625
Mn1 Mn 0.015 0.455 0.376
Mn2 Mn 0.517 0.953 0.127
Mn3 Mn 0.520 0.958 0.377
O1 O 0.092 0.433 0.002
O2 O 0.104 0.432 0.498
O3 O 0.215 0.159 0.645
O4 O 0.219 0.162 0.350
O5 O 0.220 0.165 0.853
O6 O 0.224 0.162 0.152
O7 O 0.303 0.661 0.853
O8 O 0.308 0.657 0.643
O9 O 0.310 0.660 0.151
O10 O 0.313 0.659 0.352
O11 O 0.427 0.929 0.995
O12 O 0.432 0.931 0.501
O13 O 0.590 0.976 0.747
O14 O 0.612 0.982 0.257
O15 O 0.714 0.252 0.602
O16 O 0.714 0.257 0.399
O17 O 0.721 0.245 0.896
O18 O 0.721 0.249 0.107
O19 O 0.806 0.744 0.895
O20 O 0.807 0.744 0.602
O21 O 0.811 0.748 0.106
O22 O 0.813 0.749 0.400
O23 O 0.927 0.481 0.253
O24 O 0.935 0.475 0.749

[2]
# Ca2MnTlO6 | Alexandria via LeMat-Bulk | PBE+U | optimized geometry
# DFT total energy (eV/atom): -5.9697
# Theoretical density (g cm⁻³): 4.90
# Total moment (μB/f.u.): 2.0
data_Ca2MnTlO6
_cell_length_a 5.390
_cell_length_b 5.390
_cell_length_c 5.077
_cell_angle_alpha 90.00
_cell_angle_beta 90.00
_cell_angle_gamma 90.00
_symmetry_space_group_name_H-M 'P 4 m m'
_symmetry_Int_Tables_number 99
loop_
_symmetry_equiv_pos_as_xyz
'x,y,z'
'-y,x,z'
'-x,-y,z'
'y,-x,z'
'-x,y,z'
'y,x,z'
'x,-y,z'
'-y,-x,z'
loop_
_atom_site_label
_atom_site_type_symbol
_atom_site_fract_x
_atom_site_fract_y
_atom_site_fract_z
Ca1 Ca 0.000 0.500 0.000
Mn1 Mn 0.000 0.000 0.616
Tl1 Tl 0.500 0.500 0.552
O1 O 0.000 0.000 0.275
O2 O 0.231 0.231 0.735
O3 O 0.500 0.500 0.141